No. 1
Here is crystalline NaNpICl4 at its relaxed geometry from the Alexandria database. Energies are from PBE.

POSCAR file:
```
NaNpICl4
1.0
-6.046 4.535 0.792
-3.418 0.448 -6.772
-9.149 -6.004 0.067
Cl I Na Np
8 2 2 2
Direct
0.157 0.586 0.211
0.630 0.630 0.342
0.414 0.843 0.789
0.586 0.157 0.211
0.370 0.370 0.658
0.130 0.130 0.550
0.843 0.414 0.789
0.870 0.870 0.450
0.142 0.142 0.061
0.858 0.858 0.939
0.382 0.382 0.389
0.618 0.618 0.611
0.865 0.865 0.219
0.135 0.135 0.781
```

Properties
- density of states at the Fermi level (states/eV/f.u.) = 4.997
- ΔE_f (raw) (eV/atom) = -1.52

***

No. 2
Here is crystalline Na3NpI2Cl6 at its relaxed geometry from the Alexandria database. Energies are from PBE.

POSCAR file:
```
Na3NpI2Cl6
1.0
-4.797 -3.146 -2.618
0.140 -5.548 6.412
-5.106 6.935 0.503
Na Cl I Np
3 6 2 1
Direct
0.500 0.500 0.500
0.500 0.000 0.500
0.000 0.500 0.000
0.723 0.856 0.711
0.272 0.717 0.864
0.728 0.283 0.136
0.277 0.144 0.289
0.272 0.147 0.864
0.728 0.853 0.136
0.804 0.318 0.637
0.196 0.682 0.363
0.500 0.000 0.000
```

Properties
- density of states at the Fermi level (states/eV/f.u.) = 14.507
- ΔE_f (raw) (eV/atom) = -1.42

***

No. 3
Here is crystalline Na4IClO at its relaxed geometry from the Alexandria database. Energies are from PBE.

POSCAR file:
```
Na4IClO
1.0
-5.327 0.561 3.656
0.649 -6.197 1.898
6.970 1.986 4.100
Na O I Cl
8 2 2 2
Direct
0.107 0.750 0.213
0.000 0.000 0.500
0.594 0.250 0.189
0.500 0.500 0.500
0.406 0.750 0.811
0.000 0.500 0.500
0.893 0.250 0.787
0.500 0.000 0.500
0.746 0.250 0.492
0.254 0.750 0.508
0.094 0.250 0.189
0.906 0.750 0.811
0.397 0.250 0.793
0.603 0.750 0.207
```

Properties
- density of states at the Fermi level (states/eV/f.u.) = 0.000
- ΔE_f (raw) (eV/atom) = -1.39

***

Across the entries above, calculated volume takes the values 547.1 401.5 324.0 Å³/cell, respectively.